1.
Computed, not measured: a geometry-optimized As2PdCBr structure at the PBEsol level of DFT.

abc: 4.7645 4.7645 5.0684
angles: 90.00 90.00 90.00
Atoms (fractional coordinates):
As 0.0000 0.5000 0.0000
As 0.5000 0.0000 0.0000
Pd 0.0000 0.0000 0.0000
C 0.5000 0.5000 0.5000
Br 0.0000 0.0000 0.5000

## Properties
Its total energy is -0.137 hartree per atom. Its crystal system is tetragonal.



2.
Computed, not measured: a geometry-optimized As2PtCBr structure at the PBEsol level of DFT.

abc: 4.3220 4.3220 4.2567
angles: 90.00 90.00 90.00
Atoms (fractional coordinates):
As 0.0000 0.5000 0.0000
As 0.5000 0.0000 0.0000
Pt 0.0000 0.0000 0.5000
C 0.5000 0.5000 0.0000
Br 0.5000 0.5000 0.5000

## Properties
Its total energy is -0.166 hartree per atom. Its crystal system is tetragonal.



3.
Computed, not measured: a geometry-optimized TiAs2CBr structure at the PBEsol level of DFT.

abc: 4.8680 4.8680 4.8293
angles: 90.00 90.00 90.00
Atoms (fractional coordinates):
Ti 0.0000 0.0000 0.0000
As 0.0000 0.5000 0.0000
As 0.5000 0.0000 0.0000
C 0.5000 0.5000 0.5000
Br 0.0000 0.0000 0.5000

## Properties
Its total energy is -0.170 hartree per atom. Its crystal system is tetragonal.



4.
Computed, not measured: a geometry-optimized ZnAs2CBr structure at the PBEsol level of DFT.

abc: 4.3134 4.3134 4.7612
angles: 90.00 90.00 90.00
Atoms (fractional coordinates):
Zn 0.0000 0.0000 0.0000
As 0.0000 0.5000 0.5000
As 0.5000 0.0000 0.5000
C 0.5000 0.5000 0.5000
Br 0.5000 0.5000 0.0000

## Properties
Its total energy is -0.129 hartree per atom. Its crystal system is tetragonal.



5.
Computed, not measured: a geometry-optimized ZrAsCBr2 structure at the PBEsol level of DFT.

abc: 5.1485 5.1485 5.2987
angles: 90.00 90.00 90.00
Atoms (fractional coordinates):
Zr 0.0000 0.0000 0.0000
As 0.0000 0.0000 0.5000
C 0.5000 0.5000 0.5000
Br 0.0000 0.5000 0.0000
Br 0.5000 0.0000 0.0000

## Properties
Its total energy is -0.164 hartree per atom. Its crystal system is tetragonal.



6.
Computed, not measured: a geometry-optimized Ca3AsBr structure at the PBEsol level of DFT.

abc: 5.5945 5.5945 5.5945
angles: 90.00 90.00 90.00
Atoms (fractional coordinates):
Ca 0.0000 0.0000 0.5000
Ca 0.0000 0.5000 0.0000
Ca 0.5000 0.0000 0.0000
As 0.0000 0.0000 0.0000
Br 0.5000 0.5000 0.5000

## Properties
Its total energy is -0.127 hartree per atom. Its crystal system is cubic.



Magnetization list, top to bottom, in μB per cell: 1.434; 0.000; 1.449; 0.001; 1.161; 0.000